First-principles (PBE) data for a relaxed CsKHgF6 crystal, as listed in Alexandria via LeMat-Bulk.

Calculated values
E_tot: -3.31 eV/atom
Spin magnetization: 0.222 μB/atom

Lattice parameters (Å, degrees): 6.3330 6.3317 5.0947 89.90 90.00 59.96
Last column: magnetic moment on the atom in μB.
Fractional positions:
F: 0.0007 0.5155 0.7640  0.23
F: 0.5161 0.4833 0.7634  0.23
F: 0.1420 0.1988 0.3254  0.23
Hg: 0.3333 0.3333 0.5485  0.49
Cs: 0.0002 0.9999 0.8548  0.01
F: 0.1977 0.6599 0.3252  0.23
F: 0.6589 0.1426 0.3249  0.23
F: 0.4842 0.9997 0.7639  0.23
K: 0.6666 0.6671 0.3297  0.00

=====

First-principles (PBE) data for a relaxed CsK2HgF crystal, as listed in Alexandria via LeMat-Bulk.

Calculated values
E_tot: -2.15 eV/atom
D(E_F): 0.667 states/eV/atom
Spin magnetization: 0.000 μB/atom

Lattice parameters (Å, degrees): 5.5141 5.5141 6.1923 90.00 90.00 90.00
Fractional positions:
K: 0.0000 0.5000 0.0000
Cs: 0.0000 0.0000 0.5000
K: 0.5000 0.0000 0.0000
F: 0.0000 0.0000 0.0000
Hg: 0.5000 0.5000 0.5000

=====

First-principles (PBE) data for a relaxed Cs2LaHgF6 crystal, as listed in Alexandria via LeMat-Bulk.

Calculated values
E_tot: -4.69 eV/atom
D(E_F): 0.185 states/eV/atom
Spin magnetization: 0.100 μB/atom

Lattice parameters (Å, degrees): 6.9821 7.0219 9.8620 90.00 90.00 90.00
Last column: magnetic moment on the atom in μB.
Fractional positions:
La: 0.0000 0.7451 0.5000  0.03
F: 0.0000 0.7743 0.7342  0.04
F: 0.2594 0.0261 0.0000  0.04
F: 0.2712 0.4932 0.0000  0.05
F: 0.2288 0.5068 0.5000  0.05
F: 0.7288 0.4932 0.0000  0.05
Cs: 0.0000 0.2314 0.7498  0.00
F: 0.2406 0.9739 0.5000  0.04
F: 0.5000 0.2257 0.2342  0.04
Cs: 0.5000 0.7686 0.7502  0.00
F: 0.7406 0.0261 0.0000  0.04
Hg: 0.5000 0.2510 0.5000  0.45
F: 0.7594 0.9739 0.5000  0.04
Cs: 0.5000 0.7686 0.2498  0.00
La: 0.5000 0.2549 0.0000  0.03
F: 0.0000 0.7743 0.2658  0.04
Cs: 0.0000 0.2314 0.2502  0.00
F: 0.5000 0.2257 0.7658  0.04
F: 0.7712 0.5068 0.5000  0.05
Hg: 0.0000 0.7490 0.0000  0.45

=====

| no. | formation energy without anion corrections (eV per formula unit) |
| --- | --- |
| 1 | -16.34 |
| 2 | -5.54 |
| 3 | -28.71 |